(1)
VASP calculation (PBE-GGA) on an optimized crystal structure of LiCuHg2.

```
LiCuHg2
1.0
-1.552 -7.293 0.422
0.831 0.253 7.418
-3.238 -2.890 4.221
Hg Cu Li
4 2 2
Direct
0.642 0.125 0.250
0.108 0.625 0.250
0.375 0.358 0.750
0.875 0.892 0.750
0.000 0.000 0.000
0.750 0.250 0.500
0.500 0.500 0.000
0.250 0.750 0.500
```


(2)
VASP calculation (PBE-GGA) on an optimized crystal structure of Li2CuHg.

```
Li2CuHg
1.0
6.910 0.200 0.410
-2.472 3.186 0.049
1.967 1.458 2.996
Hg Cu Li
1 1 2
Direct
0.500 0.500 0.000
0.000 0.500 0.500
0.000 0.000 0.000
0.500 0.000 0.500
```


(3)
VASP calculation (PBE-GGA) on an optimized crystal structure of LiCuHg2.

```
LiCuHg2
1.0
3.342 0.000 0.000
0.000 3.375 0.000
0.000 0.000 6.415
Cu Hg Li
1 2 1
Direct
0.500 0.500 0.730
0.000 0.000 0.954
0.500 0.500 0.294
0.000 0.000 0.522
```


(4)
PBE-GGA LiCu3Hg, optimized geometry; energy above the lowest structure with this stoichiometry = 0 meV per atom
1.0
4.219 0.000 0.000
0.000 4.219 0.000
0.000 0.000 4.219
Hg Cu Li
1 3 1
Direct
0.500 0.500 0.500
0.000 0.500 0.000
0.000 0.000 0.500
0.500 0.000 0.000
0.000 0.000 0.000


(5)
PBE-GGA Li3CuHg, optimized geometry; energy above the lowest structure with this stoichiometry = 0 meV per atom
1.0
4.648 0.000 0.000
0.000 4.648 0.000
0.000 0.000 4.648
Hg Cu Li
1 1 3
Direct
0.500 0.500 0.500
0.000 0.000 0.000
0.000 0.500 0.000
0.000 0.000 0.500
0.500 0.000 0.000


(6)
VASP calculation (PBE-GGA) on an optimized crystal structure of Li2CuHg.

```
Li2CuHg
1.0
3.057 0.000 0.000
1.529 2.648 0.000
1.529 0.883 8.494
Li Cu Hg
2 1 1
Direct
0.076 0.076 0.773
0.257 0.257 0.228
0.666 0.666 0.001
0.500 0.500 0.499
```


Number 1: formation energy from the elements 1.6 kcal/mol of atoms, E -12.68 eV per cell. Number 2: formation energy from the elements -3.8 kcal/mol of atoms, E -8.89 eV per cell. Number 3: formation energy from the elements -1.3 kcal/mol of atoms, E -6.84 eV per cell. Number 4: formation energy from the elements 13.2 kcal/mol of atoms, E -11.64 eV per cell. Number 5: formation energy from the elements 2.2 kcal/mol of atoms, E -9.66 eV per cell. Number 6: formation energy from the elements -0.2 kcal/mol of atoms, E -8.27 eV per cell.